[1]
The following is a DFT calculation (PBE) of a relaxed CsBe3P2 crystal.

Computed properties:
The symmetry is C2/m.

Cell lengths 3.702, 7.356, 9.130 Å; angles 110.45, 90.00, 104.57 degrees
Fractional coordinates of all 12 atoms:
Be  0.588  0.175  0.602
Be  0.119  0.239  0.444
Be  0.412  0.825  0.398
Be  0.714  0.429  0.411
Be  0.881  0.761  0.556
Be  0.286  0.571  0.589
P  0.173  0.346  0.695
P  0.448  0.897  0.673
P  0.827  0.654  0.305
P  0.552  0.103  0.327
Cs  0.134  0.268  0.049
Cs  0.866  0.732  0.951

---

[2]
The following is a DFT calculation (PBE) of a relaxed CaNd4Dy crystal.

Computed properties:
As for the energy relative to the lowest polymorph listed for this composition: 0 meV per atom. The symmetry is Pmmm.

Cell lengths 3.646, 5.233, 11.104 Å; angles 90.00, 90.00, 90.00 degrees
Fractional coordinates of all 6 atoms:
Ca  0.000  0.500  0.000
Dy  0.500  0.000  0.500
Nd  0.000  0.500  0.660
Nd  0.501  0.000  0.181
Nd  0.000  0.500  0.340
Nd  0.499  0.000  0.819

---

[3]
The following is a DFT calculation (PBE) of a relaxed HfHPd4 crystal.

Computed properties:
The symmetry is I4_1md.

Cell lengths 6.379, 6.379, 6.379 Å; angles 110.98, 110.98, 106.49 degrees
Fractional coordinates of all 12 atoms:
Pd  0.748  0.562  0.186
Pd  0.685  0.988  0.303
Pd  0.738  0.935  0.803
Pd  0.132  0.935  0.197
Pd  0.376  0.562  0.814
Pd  0.312  0.626  0.314
Pd  0.685  0.382  0.697
Pd  0.312  0.998  0.686
H  0.547  0.047  0.500
H  0.797  0.797  0.000
Hf  0.959  0.459  0.500
Hf  0.209  0.209  0.000

---

| no. | final energy (eV per atom) |
| --- | --- |
| 1 | -4.037 |
| 2 | -4.238 |
| 3 | -5.698 |